Record 1
SrIn2H GGA-PBE relaxed; total energy = -2.2206 eV/atom; total magnetic moment = 0.000 μB/cell
1.0
-3.869 -3.170 -1.858
-4.502 -0.632 2.793
-4.562 2.120 -1.778
Sr H In
1 1 2
Direct
0.500 0.500 0.500
0.000 0.000 0.000
0.750 0.750 0.750
0.250 0.250 0.250

=====

Record 2
Pa2Al12Pd7 GGA-PBE relaxed; energy relative to the elements = -0.65 eV/atom; total magnetic moment = 1.734 μB/cell
1.0
-0.096 -3.453 2.412
-8.396 -2.821 -4.375
8.702 -2.838 -3.716
Pd Al Pa
7 12 2
Direct
0.000 0.211 0.309
0.000 0.333 0.667
0.500 0.910 0.341
0.000 0.098 0.789
0.500 0.659 0.569
0.000 0.691 0.902
0.500 0.431 0.090
0.000 0.495 0.535
0.500 0.385 0.315
0.500 0.930 0.615
0.000 0.909 0.186
0.000 0.276 0.091
0.000 0.465 0.960
0.000 0.814 0.724
0.500 0.685 0.070
0.500 0.537 0.747
0.500 0.210 0.463
0.500 0.253 0.790
0.000 0.040 0.505
0.000 0.667 0.333
0.500 0.000 0.000

=====

Record 3
CaCr2In GGA-PBE relaxed; energy relative to the elements = 0.54 eV/atom; total magnetic moment = 0.165 μB/cell
1.0
9.427 -0.021 -0.012
8.890 3.138 -0.012
8.890 1.513 2.749
Ca Cr In
1 2 1
Direct
0.745 0.745 0.745
0.261 0.261 0.261
0.983 0.983 0.983
0.511 0.511 0.511

=====

Record 4
La6CoP2Cl3 GGA-PBE relaxed; total magnetic moment = 0.000 μB/cell; formation energy without anion corrections = -1410 meV per atom
1.0
7.295 0.062 -0.020
-3.593 6.350 -0.020
-1.255 -2.173 6.913
La Cl P Co
6 3 2 1
Direct
0.389 0.073 0.218
0.254 0.254 0.765
0.927 0.611 0.782
0.073 0.389 0.218
0.611 0.927 0.782
0.746 0.746 0.235
0.178 0.822 0.500
0.822 0.178 0.500
0.500 0.500 0.500
0.334 0.666 0.000
0.666 0.334 0.000
0.000 0.000 0.000

=====

Record 5
KZrAgI6 GGA-PBE relaxed; total magnetic moment = 0.000 μB/cell; formation energy without anion corrections = -857 meV per atom
1.0
7.780 0.000 0.000
-3.890 6.738 0.000
0.000 0.000 15.265
Ag I K Zr
2 12 2 2
Direct
0.333 0.667 0.250
0.667 0.333 0.750
0.380 0.362 0.360
0.362 0.380 0.860
0.638 0.620 0.140
0.620 0.982 0.860
0.018 0.638 0.860
0.638 0.018 0.360
0.380 0.018 0.140
0.620 0.638 0.640
0.982 0.620 0.360
0.982 0.362 0.140
0.362 0.982 0.640
0.018 0.380 0.640
0.000 0.000 0.500
0.000 0.000 0.000
0.333 0.667 0.750
0.667 0.333 0.250

=====

Record 6
Sc3PbF GGA-PBE relaxed; total magnetic moment = 0.000 μB/cell; formation energy without anion corrections = -968 meV per atom
1.0
4.602 0.000 0.000
0.000 4.602 0.000
0.000 0.000 4.602
Sc Pb F
3 1 1
Direct
0.000 0.000 0.500
0.000 0.500 0.000
0.500 0.000 0.000
0.500 0.500 0.500
0.000 0.000 0.000